# 1
Computed, not measured: a relaxed structure of ErIn2Ru at the PBE-GGA level of DFT.

Output
The calculation puts the spin magnetization at 0.000 μB/atom. Its space group is P2_1/m. Its formation energy is -0.332 eV/atom. Its total energy is -5.161 eV/atom.

Geometry as POSCAR:
```
ErIn2Ru
1.0
4.036 0.000 0.000
0.000 8.585 0.000
-2.016 0.000 5.045
Er In Ru
2 4 2
Direct
0.072 0.250 0.143
0.928 0.750 0.857
0.355 0.046 0.711
0.355 0.454 0.711
0.645 0.546 0.289
0.645 0.954 0.289
0.222 0.750 0.443
0.778 0.250 0.557
```

=====

# 2
Computed, not measured: a relaxed structure of ZrIrBr2 at the PBE-GGA level of DFT.

Output
The calculation puts the spin magnetization at 0.263 μB/atom. Its space group is R3m. Its total energy is -5.667 eV/atom. The calculation puts the formation energy (no corrections) at -0.478 eV per atom. The calculation puts the offset from the most stable computed form at 0.061 eV per atom.

Geometry as POSCAR:
```
ZrIrBr2
1.0
1.813 1.047 9.183
-1.813 1.047 9.183
0.000 -2.093 9.183
Zr Ir Br
1 1 2
Direct
0.000 0.000 0.000
0.275 0.275 0.275
0.538 0.538 0.538
0.738 0.738 0.738
```

=====

# 3
Computed, not measured: a relaxed structure of CaSn3Rh3 at the PBE-GGA level of DFT.

Output
The calculation puts the spin magnetization at 0.000 μB/atom. Its space group is Pm-3n. Its formation energy is -0.120 eV/atom. Its total energy is -5.272 eV/atom.

Geometry as POSCAR:
```
CaSn3Rh3
1.0
7.210 0.000 0.000
0.000 7.210 0.000
0.000 0.000 7.210
Ca Sn Rh
2 6 6
Direct
0.000 0.000 0.000
0.500 0.500 0.500
0.000 0.250 0.500
0.000 0.750 0.500
0.250 0.500 0.000
0.500 0.000 0.250
0.500 0.000 0.750
0.750 0.500 0.000
0.000 0.500 0.250
0.000 0.500 0.750
0.250 0.000 0.500
0.500 0.250 0.000
0.500 0.750 0.000
0.750 0.000 0.500
```

=====

# 4
Computed, not measured: a relaxed structure of RuRhIN2 at the PBE-GGA level of DFT.

Output
The calculation puts the spin magnetization at 0.236 μB/atom. Its space group is P4/mmm. Its total energy is -5.878 eV/atom. The calculation puts the formation energy (no corrections) at 1.087 eV per atom. The calculation puts the offset from the most stable computed form at 0.000 eV per atom.

Geometry as POSCAR:
```
RuRhIN2
1.0
3.799 0.000 0.000
0.000 3.799 0.000
0.000 0.000 5.927
Ru Rh I N
1 1 1 2
Direct
0.000 0.000 0.000
0.500 0.500 0.500
0.000 0.000 0.500
0.000 0.500 0.000
0.500 0.000 0.000
```

=====

# 5
Computed, not measured: a relaxed structure of ScNb2S at the PBE-GGA level of DFT.

Output
The calculation puts the spin magnetization at 0.000 μB/atom. Its space group is I-42d. Its total energy is -7.783 eV/atom. The calculation puts the formation energy (no corrections) at -0.133 eV per atom.

Geometry as POSCAR:
```
ScNb2S
1.0
-1.914 1.914 10.182
1.914 -1.914 10.182
1.914 1.914 -10.182
Sc Nb S
2 4 2
Direct
0.000 0.000 0.000
0.750 0.250 0.500
0.135 0.625 0.010
0.375 0.385 0.510
0.615 0.125 0.990
0.875 0.865 0.490
0.250 0.750 0.500
0.500 0.500 0.000
```

=====

# 6
Computed, not measured: a relaxed structure of BaSbBr2 at the PBE-GGA level of DFT.

Output
The calculation puts the spin magnetization at 0.000 μB/atom. Its space group is Pm. Its total energy is -3.419 eV/atom. The calculation puts the formation energy (no corrections) at -1.071 eV per atom. The calculation puts the offset from the most stable computed form at 0.029 eV per atom.

Geometry as POSCAR:
```
BaSbBr2
1.0
4.319 0.000 0.000
0.000 6.228 0.000
-2.147 0.000 5.426
Ba Sb Br
1 1 2
Direct
0.000 0.000 0.000
0.592 0.500 0.182
0.290 0.000 0.579
0.839 0.500 0.678
```

=====

# 7
Computed, not measured: a relaxed structure of AcPr12Sm2 at the PBE-GGA level of DFT.

Output
The calculation puts the spin magnetization at 0.000 μB/atom. Its space group is P4/nbm. Its formation energy is 0.274 eV/atom. Its total energy is -4.452 eV/atom.

Geometry as POSCAR:
```
AcPr12Sm2
1.0
6.646 0.000 0.000
0.000 6.646 0.000
0.000 0.000 26.308
Ac Pr Sm
2 24 4
Direct
0.250 0.750 0.000
0.750 0.250 0.000
0.068 0.568 0.121
0.068 0.932 0.879
0.082 0.582 0.561
0.082 0.918 0.439
0.250 0.250 0.220
0.250 0.250 0.340
0.250 0.250 0.660
0.250 0.250 0.780
0.418 0.582 0.439
0.418 0.918 0.561
0.432 0.568 0.879
0.432 0.932 0.121
0.568 0.068 0.879
0.568 0.432 0.121
0.582 0.082 0.439
0.582 0.418 0.561
0.750 0.750 0.220
0.750 0.750 0.340
0.750 0.750 0.660
0.750 0.750 0.780
0.918 0.082 0.561
0.918 0.418 0.439
0.932 0.068 0.121
0.932 0.432 0.879
0.250 0.750 0.274
0.250 0.750 0.726
0.750 0.250 0.274
0.750 0.250 0.726
```

=====

# 8
Computed, not measured: a relaxed structure of Ba2ZrSe at the PBE-GGA level of DFT.

Output
The calculation puts the spin magnetization at 0.358 μB/atom. Its space group is Amm2. Its total energy is -4.361 eV/atom. The calculation puts the formation energy (no corrections) at -0.392 eV per atom.

Geometry as POSCAR:
```
Ba2ZrSe
1.0
4.607 0.000 0.000
0.000 2.484 6.456
0.000 -2.484 6.456
Ba Zr Se
2 1 1
Direct
0.000 0.000 0.000
0.500 0.291 0.291
0.500 0.589 0.589
0.000 0.704 0.704
```

=====

# 9
Computed, not measured: a relaxed structure of ThScGa2Cu2 at the PBE-GGA level of DFT.

Output
The calculation puts the spin magnetization at 0.000 μB/atom. Its space group is P-3m1. Its formation energy is -0.482 eV/atom. Its total energy is -5.149 eV/atom.

Geometry as POSCAR:
```
ThScGa2Cu2
1.0
4.299 0.000 0.000
-2.150 3.723 0.000
0.000 0.000 7.095
Th Sc Ga Cu
1 1 2 2
Direct
0.000 0.000 0.000
0.000 0.000 0.500
0.333 0.667 0.283
0.667 0.333 0.717
0.333 0.667 0.698
0.667 0.333 0.302
```

=====

# 10
Computed, not measured: a relaxed structure of Rb2BaFe at the PBE-GGA level of DFT.

Output
The calculation puts the spin magnetization at 0.607 μB/atom. Its space group is Fm-3m. Its formation energy is 0.938 eV/atom. Its total energy is -2.142 eV/atom. The calculation puts the offset from the most stable computed form at 0.000 eV per atom.

Geometry as POSCAR:
```
Rb2BaFe
1.0
0.000 4.625 4.625
4.625 0.000 4.625
4.625 4.625 0.000
Rb Ba Fe
2 1 1
Direct
0.250 0.250 0.250
0.750 0.750 0.750
0.000 0.000 0.000
0.500 0.500 0.500
```

=====

# 11
Computed, not measured: a relaxed structure of Rb2NiCI at the PBE-GGA level of DFT.

Output
The calculation puts the spin magnetization at 0.258 μB/atom. Its space group is P4/mmm. Its total energy is -2.515 eV/atom. The calculation puts the formation energy (no corrections) at 1.183 eV per atom.

Geometry as POSCAR:
```
Rb2NiCI
1.0
6.354 0.000 0.000
0.000 6.354 0.000
0.000 0.000 4.408
Rb Ni C I
2 1 1 1
Direct
0.000 0.500 0.000
0.500 0.000 0.000
0.000 0.000 0.500
0.500 0.500 0.000
0.500 0.500 0.500
```

=====

# 12
Computed, not measured: a relaxed structure of Dy5Ho4Mg2 at the PBE-GGA level of DFT.

Output
The calculation puts the spin magnetization at 0.016 μB/atom. Its space group is Immm. Its formation energy is 0.237 eV/atom. Its total energy is -3.810 eV/atom. The calculation puts the offset from the most stable computed form at 0.225 eV per atom.

Geometry as POSCAR:
```
Dy5Ho4Mg2
1.0
-1.702 4.397 11.446
1.702 -4.397 11.446
1.702 4.397 -11.446
Dy Ho Mg
5 4 2
Direct
0.000 0.000 0.000
0.057 0.360 0.697
0.338 0.640 0.697
0.662 0.360 0.303
0.943 0.640 0.303
0.268 0.768 0.500
0.319 0.500 0.819
0.681 0.500 0.181
0.732 0.232 0.500
0.402 0.902 0.500
0.598 0.098 0.500
```

=====

- Which formula does entry 12 have?
  Dy5Ho4Mg2